DFT (PBE-GGA) results for an optimized crystal structure of La2GaCu4Si3.

a = 4.1730 Å, b = 4.1730 Å, c = 10.0634 Å
α = 90.00°, β = 90.00°, γ = 90.00°
Closest atoms and distances in Å follow each position.
Space group P-4m2 (No. 115)
Unique sites:
La  0.0000  0.5000  0.2448 [2 per cell]  6 Si 3.18-3.31, 8 Cu 3.20-3.23, 2 Ga 3.31
Ga  0.0000  0.0000  0.5000 [1 per cell]  4 Cu 2.48
Cu  0.0000  0.0000  0.0000 [1 per cell]  4 Si 2.45
Cu  0.0000  0.5000  0.6334 [2 per cell]  3 Si 2.41-2.48, 2 Ga 2.48
Cu  0.5000  0.5000  0.0000 [1 per cell]  4 Si 2.45
Si  0.0000  0.5000  0.8732 [2 per cell]  5 Cu 2.41-2.45
Si  0.5000  0.5000  0.5000 [1 per cell]  4 Cu 2.48

Properties
For the volume, the calculation gives 17.52 Å³/atom. The value obtained for the uncorrected formation energy is -539 meV per atom. Its magnetic moment is 0.00 μB per formula unit.